Entry from Alexandria via LeMat-Bulk: a geometry-optimized Cu3BPd structure (PBE-GGA).

Cell lengths 3.9406, 3.9406, 3.9406 Å; angles 90.00, 90.00, 90.00 degrees
Element x y z (fractional)
Cu  0.0000  0.0000  0.5000
Cu  0.0000  0.5000  0.0000
Cu  0.5000  0.0000  0.0000
B  0.0000  0.0000  0.0000
Pd  0.5000  0.5000  0.5000

Calculated values
volume = 12.239 Å³ per atom
energy relative to the lowest polymorph listed for this composition = 0.0 meV/atom
magnetic moment = 0.00 μB/f.u.
energy relative to the elements = 0.165 eV/atom
SG = No. 221

---

Entry from Alexandria via LeMat-Bulk: a geometry-optimized Cu3BPd structure (PBE-GGA).

Cell lengths 4.6590, 4.6590, 4.6590 Å; angles 90.00, 90.00, 90.00 degrees
Element x y z (fractional)
Cu  0.0000  0.0000  0.5000
Cu  0.0000  0.5000  0.0000
Cu  0.5000  0.0000  0.0000
B  0.5000  0.5000  0.5000
Pd  0.0000  0.0000  0.0000

Calculated values
volume = 20.226 Å³ per atom
energy relative to the lowest polymorph listed for this composition = 1558.7 meV/atom
magnetic moment = 0.00 μB/f.u.
energy relative to the elements = 1.724 eV/atom
SG = No. 221

---

Entry from Alexandria via LeMat-Bulk: a geometry-optimized CuBPd3 structure (PBE-GGA).

Cell lengths 6.9431, 6.9431, 3.0195 Å; angles 90.00, 90.00, 109.20 degrees
Element x y z (fractional)
Cu  0.0000  0.0000  0.0000
Cu  0.5000  0.5000  0.5000
B  0.0000  0.5000  0.0000
B  0.5000  0.0000  0.0000
Pd  0.0839  0.3313  0.5000
Pd  0.3090  0.6910  0.0000
Pd  0.3313  0.0839  0.5000
Pd  0.6687  0.9161  0.5000
Pd  0.6910  0.3090  0.0000
Pd  0.9161  0.6687  0.5000

Calculated values
volume = 13.746 Å³ per atom
energy relative to the lowest polymorph listed for this composition = 16.8 meV/atom
magnetic moment = 0.00 μB/f.u.
energy relative to the elements = -0.154 eV/atom
SG = No. 65

---

Entry from Alexandria via LeMat-Bulk: a geometry-optimized CuB2Pd6 structure (PBE-GGA).

Cell lengths 4.6340, 4.6340, 6.1544 Å; angles 95.00, 95.00, 114.67 degrees
Element x y z (fractional)
Cu  0.0000  0.0000  0.0000
B  0.2365  0.7635  0.5000
B  0.7635  0.2365  0.5000
Pd  0.1542  0.5128  0.7912
Pd  0.2282  0.2282  0.3963
Pd  0.4872  0.8458  0.2088
Pd  0.5128  0.1542  0.7912
Pd  0.7718  0.7718  0.6037
Pd  0.8458  0.4872  0.2088

Calculated values
volume = 13.169 Å³ per atom
magnetic moment = 0.00 μB/f.u.
energy relative to the elements = -0.090 eV/atom
SG = No. 12

---

Entry from Alexandria via LeMat-Bulk: a geometry-optimized CuBPd structure (PBE-GGA).

Cell lengths 3.4657, 3.4657, 3.4421 Å; angles 90.00, 90.00, 120.00 degrees
Element x y z (fractional)
Cu  0.0000  0.0000  0.0000
B  0.3333  0.6667  0.2572
Pd  0.6667  0.3333  0.4839

Calculated values
volume = 11.935 Å³ per atom
magnetic moment = 0.00 μB/f.u.
energy relative to the elements = 0.164 eV/atom
SG = No. 156

---

Entry from Alexandria via LeMat-Bulk: a geometry-optimized CuBPd3 structure (PBE-GGA).

Cell lengths 4.5599, 4.5599, 4.5599 Å; angles 90.00, 90.00, 90.00 degrees
Element x y z (fractional)
Cu  0.0000  0.0000  0.0000
B  0.5000  0.5000  0.5000
Pd  0.0000  0.0000  0.5000
Pd  0.0000  0.5000  0.0000
Pd  0.5000  0.0000  0.0000

Calculated values
volume = 18.962 Å³ per atom
energy relative to the lowest polymorph listed for this composition = 1719.4 meV/atom
magnetic moment = 0.00 μB/f.u.
energy relative to the elements = 1.549 eV/atom
SG = No. 221

---

Entry from Alexandria via LeMat-Bulk: a geometry-optimized CuBPd3 structure (PBE-GGA).

Cell lengths 4.1317, 4.1317, 4.1317 Å; angles 90.00, 90.00, 90.00 degrees
Element x y z (fractional)
Cu  0.0000  0.0000  0.0000
B  0.5000  0.5000  0.5000
Pd  0.0000  0.5000  0.5000
Pd  0.5000  0.0000  0.5000
Pd  0.5000  0.5000  0.0000

Calculated values
volume = 14.106 Å³ per atom
energy relative to the lowest polymorph listed for this composition = 86.9 meV/atom
magnetic moment = 0.00 μB/f.u.
energy relative to the elements = -0.084 eV/atom
SG = No. 221

---

Entry from Alexandria via LeMat-Bulk: a geometry-optimized CuBPd structure (PBE-GGA).

Cell lengths 3.6812, 3.6812, 3.6812 Å; angles 60.00, 60.00, 60.00 degrees
Element x y z (fractional)
Cu  0.0000  0.0000  0.0000
B  0.2500  0.2500  0.2500
Pd  0.5000  0.5000  0.5000

Calculated values
volume = 11.758 Å³ per atom
magnetic moment = 0.00 μB/f.u.
energy relative to the elements = 0.089 eV/atom
SG = No. 216

---

Entry from Alexandria via LeMat-Bulk: a geometry-optimized Cu2BPd8 structure (PBE-GGA).

Cell lengths 6.7234, 6.7234, 4.5889 Å; angles 108.99, 108.99, 66.72 degrees
Element x y z (fractional)
Cu  0.1646  0.1646  0.4208
Cu  0.8354  0.8354  0.5792
B  0.0000  0.0000  0.0000
Pd  0.1176  0.7314  0.1914
Pd  0.2686  0.8824  0.8086
Pd  0.2942  0.2942  0.0445
Pd  0.4265  0.4265  0.6773
Pd  0.5735  0.5735  0.3227
Pd  0.7058  0.7058  0.9555
Pd  0.7314  0.1176  0.1914
Pd  0.8824  0.2686  0.8086

Calculated values
volume = 15.955 Å³ per atom
energy relative to the lowest polymorph listed for this composition = 184.1 meV/atom
magnetic moment = 0.00 μB/f.u.
energy relative to the elements = 0.124 eV/atom
SG = No. 12

---

Entry from Alexandria via LeMat-Bulk: a geometry-optimized Cu2BPd5 structure (PBE-GGA).

Cell lengths 5.4440, 9.8212, 4.0495 Å; angles 90.00, 90.00, 90.00 degrees
Element x y z (fractional)
Cu  0.1363  0.1508  0.0000
Cu  0.3637  0.6508  0.0000
Cu  0.6363  0.3492  0.0000
Cu  0.8637  0.8492  0.0000
B  0.0000  0.5000  0.5000
B  0.5000  0.0000  0.5000
Pd  0.0000  0.0000  0.5000
Pd  0.0962  0.7072  0.5000
Pd  0.1783  0.4092  0.0000
Pd  0.3217  0.9092  0.0000
Pd  0.4038  0.2072  0.5000
Pd  0.5000  0.5000  0.5000
Pd  0.5962  0.7928  0.5000
Pd  0.6783  0.0908  0.0000
Pd  0.8217  0.5908  0.0000
Pd  0.9038  0.2928  0.5000

Calculated values
volume = 13.532 Å³ per atom
energy relative to the lowest polymorph listed for this composition = 0.0 meV/atom
magnetic moment = 0.00 μB/f.u.
energy relative to the elements = -0.078 eV/atom
SG = No. 55

---

Entry from Alexandria via LeMat-Bulk: a geometry-optimized CuBPd2 structure (PBE-GGA).

Cell lengths 5.2523, 5.2523, 5.2523 Å; angles 103.10, 103.10, 123.14 degrees
Element x y z (fractional)
Cu  0.0000  0.0000  0.0000
Cu  0.7500  0.2500  0.5000
B  0.2500  0.7500  0.5000
B  0.5000  0.5000  0.0000
Pd  0.2126  0.6250  0.0876
Pd  0.3750  0.4626  0.5876
Pd  0.5374  0.1250  0.9124
Pd  0.8750  0.7874  0.4124

Calculated values
volume = 13.336 Å³ per atom
magnetic moment = 0.00 μB/f.u.
energy relative to the elements = 0.001 eV/atom
SG = No. 122

---

Entry from Alexandria via LeMat-Bulk: a geometry-optimized Cu5BPd4 structure (PBE-GGA).

Cell lengths 6.9168, 6.9168, 6.5994 Å; angles 98.17, 98.17, 24.99 degrees
Element x y z (fractional)
Cu  0.0000  0.0000  0.0000
Cu  0.2205  0.2205  0.3455
Cu  0.3247  0.3247  0.9655
Cu  0.6753  0.6753  0.0345
Cu  0.7795  0.7795  0.6545
B  0.0000  0.0000  0.5000
Pd  0.1297  0.1297  0.7106
Pd  0.4403  0.4403  0.6724
Pd  0.5597  0.5597  0.3276
Pd  0.8703  0.8703  0.2894

Calculated values
volume = 13.195 Å³ per atom
magnetic moment = 0.00 μB/f.u.
energy relative to the elements = -0.104 eV/atom
SG = No. 12

---

Entry from Alexandria via LeMat-Bulk: a geometry-optimized Cu2BPd3 structure (PBE-GGA).

Cell lengths 6.9518, 6.9518, 2.7984 Å; angles 90.00, 90.00, 144.33 degrees
Element x y z (fractional)
Cu  0.1999  0.8001  0.0000
Cu  0.8001  0.1999  0.0000
B  0.5000  0.5000  0.0000
Pd  0.0000  0.0000  0.0000
Pd  0.3781  0.6219  0.5000
Pd  0.6219  0.3781  0.5000

Calculated values
volume = 13.143 Å³ per atom
magnetic moment = 0.00 μB/f.u.
energy relative to the elements = -0.111 eV/atom
SG = No. 65

---

Entry from Alexandria via LeMat-Bulk: a geometry-optimized CuBPd2 structure (PBE-GGA).

Cell lengths 6.5638, 6.5638, 6.5638 Å; angles 27.42, 27.42, 27.42 degrees
Element x y z (fractional)
Cu  0.0000  0.0000  0.0000
B  0.5000  0.5000  0.5000
Pd  0.2280  0.2280  0.2280
Pd  0.7720  0.7720  0.7720

Calculated values
volume = 13.232 Å³ per atom
magnetic moment = 0.00 μB/f.u.
energy relative to the elements = -0.050 eV/atom
SG = No. 166

---

Entry from Alexandria via LeMat-Bulk: a geometry-optimized CuBPd2 structure (PBE-GGA).

Cell lengths 2.7166, 2.7166, 6.5869 Å; angles 90.00, 90.00, 90.00 degrees
Element x y z (fractional)
Cu  0.0000  0.0000  0.0000
B  0.0000  0.0000  0.5000
Pd  0.5000  0.5000  0.2968
Pd  0.5000  0.5000  0.7032

Calculated values
volume = 12.153 Å³ per atom
magnetic moment = 0.00 μB/f.u.
energy relative to the elements = 0.007 eV/atom
SG = No. 123

---

Entry from Alexandria via LeMat-Bulk: a geometry-optimized Cu2BPd8 structure (PBE-GGA).

Cell lengths 7.6309, 7.6309, 5.6497 Å; angles 95.01, 95.01, 28.70 degrees
Element x y z (fractional)
Cu  0.1875  0.1875  0.2995
Cu  0.8125  0.8125  0.7005
B  0.5000  0.5000  0.5000
Pd  0.0050  0.0050  0.7387
Pd  0.2108  0.2108  0.8396
Pd  0.3672  0.3672  0.4569
Pd  0.4015  0.4015  0.9627
Pd  0.5985  0.5985  0.0373
Pd  0.6328  0.6328  0.5431
Pd  0.7892  0.7892  0.1604
Pd  0.9950  0.9950  0.2613

Calculated values
volume = 14.306 Å³ per atom
energy relative to the lowest polymorph listed for this composition = 0.0 meV/atom
magnetic moment = 0.00 μB/f.u.
energy relative to the elements = -0.060 eV/atom
SG = No. 12

---

Entry from Alexandria via LeMat-Bulk: a geometry-optimized Cu6BPd12 structure (PBE-GGA).

Cell lengths 6.4669, 6.4669, 6.4669 Å; angles 90.32, 90.32, 90.32 degrees
Element x y z (fractional)
Cu  0.2256  0.7616  0.3899
Cu  0.2384  0.6101  0.7744
Cu  0.3899  0.2256  0.7616
Cu  0.6101  0.7744  0.2384
Cu  0.7616  0.3899  0.2256
Cu  0.7744  0.2384  0.6101
B  0.5000  0.5000  0.5000
Pd  0.0356  0.3020  0.9431
Pd  0.0569  0.9644  0.6980
Pd  0.1480  0.3609  0.4814
Pd  0.3020  0.9431  0.0356
Pd  0.3609  0.4814  0.1480
Pd  0.4814  0.1480  0.3609
Pd  0.5186  0.8520  0.6391
Pd  0.6391  0.5186  0.8520
Pd  0.6980  0.0569  0.9644
Pd  0.8520  0.6391  0.5186
Pd  0.9431  0.0356  0.3020
Pd  0.9644  0.6980  0.0569

Calculated values
volume = 14.233 Å³ per atom
magnetic moment = 0.00 μB/f.u.
energy relative to the elements = 0.030 eV/atom
SG = No. 148

---

Entry from Alexandria via LeMat-Bulk: a geometry-optimized CuBPd6 structure (PBE-GGA).

Cell lengths 5.4185, 5.4404, 5.6708 Å; angles 90.33, 118.19, 119.75 degrees
Element x y z (fractional)
Cu  0.0000  0.0000  0.0000
B  0.0000  0.5000  0.5000
Pd  0.1918  0.4942  0.2601
Pd  0.2317  0.3039  0.7393
Pd  0.4346  0.9283  0.7382
Pd  0.5654  0.0717  0.2618
Pd  0.7683  0.6961  0.2607
Pd  0.8082  0.5058  0.7399

Calculated values
volume = 15.182 Å³ per atom
magnetic moment = 0.00 μB/f.u.
energy relative to the elements = 0.014 eV/atom
SG = No. 2

---

Entry from Alexandria via LeMat-Bulk: a geometry-optimized CuBPd structure (PBE-GGA).

Cell lengths 6.8716, 6.8716, 3.0674 Å; angles 90.00, 90.00, 151.94 degrees
Element x y z (fractional)
Cu  0.0819  0.9181  0.7500
Cu  0.9181  0.0819  0.2500
B  0.4731  0.5269  0.7500
B  0.5269  0.4731  0.2500
Pd  0.3115  0.6885  0.7500
Pd  0.6885  0.3115  0.2500

Calculated values
volume = 11.356 Å³ per atom
magnetic moment = 0.00 μB/f.u.
energy relative to the elements = 0.036 eV/atom
SG = No. 63

---

Entry from Alexandria via LeMat-Bulk: a geometry-optimized Cu5B2Pd12 structure (PBE-GGA).

Cell lengths 7.9163, 7.9163, 7.0876 Å; angles 109.66, 109.66, 40.84 degrees
Element x y z (fractional)
Cu  0.0000  0.0000  0.0000
Cu  0.2461  0.2461  0.4954
Cu  0.2487  0.2487  0.0007
Cu  0.7513  0.7513  0.9993
Cu  0.7539  0.7539  0.5046
B  0.3213  0.6787  0.5000
B  0.6787  0.3213  0.5000
Pd  0.0354  0.0354  0.3534
Pd  0.1056  0.5985  0.3198
Pd  0.1078  0.5957  0.8347
Pd  0.4015  0.8944  0.6802
Pd  0.4043  0.8922  0.1653
Pd  0.4935  0.4935  0.2163
Pd  0.5065  0.5065  0.7837
Pd  0.5957  0.1078  0.8347
Pd  0.5985  0.1056  0.3198
Pd  0.8922  0.4043  0.1653
Pd  0.8944  0.4015  0.6802
Pd  0.9646  0.9646  0.6466

Calculated values
volume = 14.268 Å³ per atom
magnetic moment = 0.00 μB/f.u.
energy relative to the elements = -0.030 eV/atom
SG = No. 12

---

Entry from Alexandria via LeMat-Bulk: a geometry-optimized CuBPd3 structure (PBE-GGA).

Cell lengths 5.5840, 5.5840, 9.9234 Å; angles 96.95, 96.95, 60.61 degrees
Element x y z (fractional)
Cu  0.0771  0.7704  0.8576
Cu  0.2296  0.9229  0.6424
Cu  0.7704  0.0771  0.3576
Cu  0.9229  0.2296  0.1424
B  0.0000  0.5000  0.5000
B  0.1416  0.8584  0.2500
B  0.5000  0.0000  0.0000
B  0.8584  0.1416  0.7500
Pd  0.1085  0.2526  0.8948
Pd  0.2526  0.1085  0.3948
Pd  0.2560  0.6108  0.4131
Pd  0.2804  0.3891  0.6650
Pd  0.3891  0.2804  0.1650
Pd  0.3892  0.7440  0.0869
Pd  0.6108  0.2560  0.9131
Pd  0.6109  0.7196  0.8350
Pd  0.7196  0.6109  0.3350
Pd  0.7440  0.3892  0.5869
Pd  0.7474  0.8915  0.6052
Pd  0.8915  0.7474  0.1052

Calculated values
volume = 13.347 Å³ per atom
energy relative to the lowest polymorph listed for this composition = 0.0 meV/atom
magnetic moment = 0.00 μB/f.u.
energy relative to the elements = -0.170 eV/atom
SG = No. 15

---

Entry from Alexandria via LeMat-Bulk: a geometry-optimized Cu2BPd2 structure (PBE-GGA).

Cell lengths 5.4541, 5.4541, 4.2663 Å; angles 90.00, 90.00, 90.00 degrees
Element x y z (fractional)
Cu  0.1550  0.3450  0.0000
Cu  0.3450  0.8450  0.0000
Cu  0.6550  0.1550  0.0000
Cu  0.8450  0.6550  0.0000
B  0.0000  0.0000  0.0000
B  0.5000  0.5000  0.0000
Pd  0.1758  0.6758  0.5000
Pd  0.3242  0.1758  0.5000
Pd  0.6758  0.8242  0.5000
Pd  0.8242  0.3242  0.5000

Calculated values
volume = 12.691 Å³ per atom
energy relative to the lowest polymorph listed for this composition = 244.0 meV/atom
magnetic moment = 0.00 μB/f.u.
energy relative to the elements = 0.266 eV/atom
SG = No. 127

---

Entry from Alexandria via LeMat-Bulk: a geometry-optimized CuBPd2 structure (PBE-GGA).

Cell lengths 2.7781, 5.4666, 5.4666 Å; angles 37.18, 90.00, 90.00 degrees
Element x y z (fractional)
Cu  0.0000  0.0000  0.0000
B  0.0000  0.7961  0.7961
Pd  0.5000  0.3545  0.3545
Pd  0.5000  0.6387  0.6387

Calculated values
volume = 12.542 Å³ per atom
magnetic moment = 0.00 μB/f.u.
energy relative to the elements = -0.093 eV/atom
SG = No. 38